Record 1
VASP calculation (PBE) on crystalline LiThIn at its relaxed geometry.

a = 3.4324 Å, b = 3.4324 Å, c = 25.3422 Å
α = 90.00°, β = 90.00°, γ = 90.00°
Space group I4/mmm (No. 139)
One atom of each set of equivalent atoms:
Li 0.0000 0.0000 0.2189
Th 0.0000 0.0000 0.0635
In 0.0000 0.0000 0.3436

Output
* ΔE_f: -0.17 eV per formula unit
* magnetization: 0.00 μB/cell
* Fermi-level density of states: 0.834 states/eV per atom
* excess energy over the best structure of this formula in the dataset: 13.6 kJ per mole of atoms
* calculated total energy: -0.1500 Ha/atom

Record 2
VASP calculation (PBE) on crystalline LiThIn at its relaxed geometry.

a = 5.0159 Å, b = 5.0159 Å, c = 3.4551 Å
α = 90.00°, β = 90.00°, γ = 120.00°
Space group P-6m2 (No. 187)
One atom of each set of equivalent atoms:
Li 0.0000 0.0000 0.0000
Th 0.6667 0.3333 0.5000
In 0.3333 0.6667 0.0000

Output
* ΔE_f: -0.54 eV per formula unit
* magnetization: 0.00 μB/cell
* Fermi-level density of states: 0.987 states/eV per atom
* excess energy over the best structure of this formula in the dataset: 1.8 kJ per mole of atoms
* calculated total energy: -0.1545 Ha/atom

Record 3
VASP calculation (PBE) on crystalline Li3Th2In4 at its relaxed geometry.

a = 6.1764 Å, b = 16.3560 Å, c = 8.3967 Å
α = 90.00°, β = 90.00°, γ = 90.00°
Space group Cmce (No. 64)
One atom of each set of equivalent atoms:
Li 0.0000 0.0000 0.0000
Li 0.2500 0.2297 0.2500
Th 0.0000 0.1049 0.6000
In 0.0000 0.1772 0.9818
In 0.2500 0.0603 0.2500

Output
* ΔE_f: -2.24 eV per formula unit
* magnetization: 0.00 μB/cell
* Fermi-level density of states: 0.816 states/eV per atom
* calculated total energy: -0.1379 Ha/atom

Record 4
VASP calculation (PBE) on crystalline Li2Th3In4 at its relaxed geometry.

a = 11.1882 Å, b = 5.0298 Å, c = 9.4002 Å
α = 90.00°, β = 119.27°, γ = 90.00°
Space group C2/m (No. 12)
One atom of each set of equivalent atoms:
Li 0.1122 0.0000 0.2795
Th 0.0000 0.5000 0.0000
Th 0.1631 0.0000 0.6627
In 0.0586 0.5000 0.3834
In 0.2179 0.0000 0.0623

Output
* ΔE_f: -2.32 eV per formula unit
* magnetization: 0.00 μB/cell
* Fermi-level density of states: 0.807 states/eV per atom
* calculated total energy: -0.1607 Ha/atom

Record 5
VASP calculation (PBE) on crystalline Li2ThIn3 at its relaxed geometry.

a = 4.7281 Å, b = 4.7281 Å, c = 14.3180 Å
α = 90.00°, β = 90.00°, γ = 120.00°
Space group P6_3/mmc (No. 194)
One atom of each set of equivalent atoms:
Li 0.3333 0.6667 0.0887
Th 0.0000 0.0000 0.2500
In 0.0000 0.0000 0.0000
In 0.3333 0.6667 0.6239

Output
* ΔE_f: -1.38 eV per formula unit
* magnetization: 0.00 μB/cell
* Fermi-level density of states: 0.700 states/eV per atom
* calculated total energy: -0.1277 Ha/atom

Record 6
VASP calculation (PBE) on crystalline LiThIn at its relaxed geometry.

a = 7.0675 Å, b = 4.9394 Å, c = 12.7675 Å
α = 90.00°, β = 96.39°, γ = 90.00°
Space group P2_1/m (No. 11)
One atom of each set of equivalent atoms:
Li 0.0377 0.2500 0.4016
Li 0.2245 0.2500 0.0534
Li 0.2646 0.7500 0.7206
Th 0.0422 0.7500 0.1808
Th 0.3308 0.7500 0.4561
Th 0.4763 0.2500 0.8464
In 0.1890 0.2500 0.6100
In 0.2157 0.7500 0.9386
In 0.3378 0.2500 0.2842

Output
* ΔE_f: -0.60 eV per formula unit
* magnetization: 0.00 μB/cell
* Fermi-level density of states: 0.758 states/eV per atom
* excess energy over the best structure of this formula in the dataset: 0.0 kJ per mole of atoms
* calculated total energy: -0.1552 Ha/atom